# NaReGeW | OQMD | PBE | relaxed
data_NaReGeW
_chemical_formula_sum 'Na4 Re4 Ge4 W4'
_symmetry_space_group_name_H-M 'F -4 3 m'
_symmetry_Int_Tables_number 216
_symmetry_space_group_name_Hall 'F -4 2 3'
_cell_length_a 6.2776
_cell_length_b 6.2776
_cell_length_c 6.2776
_cell_angle_alpha 90.00
_cell_angle_beta 90.00
_cell_angle_gamma 90.00
loop_
_atom_site_label
_atom_site_fract_x
_atom_site_fract_y
_atom_site_fract_z
Na1 0.0000 0.0000 0.0000
Re1 0.0000 0.0000 0.5000
Ge1 0.2500 0.2500 0.2500
W1 0.2500 0.2500 0.7500
# excess energy over the best structure of this formula in the dataset: 0.0 meV per atom
# electronic total energy: -7.346 eV per atom

---

# Na2ZnGe2S6 | OQMD | PBE | relaxed
data_Na2ZnGe2S6
_chemical_formula_sum 'Na8 Zn4 Ge8 S24'
_symmetry_space_group_name_H-M 'C 1 c 1'
_symmetry_Int_Tables_number 9
_symmetry_space_group_name_Hall 'C -2yc'
_cell_length_a 7.3302
_cell_length_b 12.4579
_cell_length_c 11.5593
_cell_angle_alpha 90.00
_cell_angle_beta 100.61
_cell_angle_gamma 90.00
loop_
_atom_site_label
_atom_site_fract_x
_atom_site_fract_y
_atom_site_fract_z
Na1 0.0000 0.0105 0.0000
Na2 0.3917 0.2005 0.8656
Zn1 0.3352 0.2574 0.2039
Ge1 0.1294 0.4762 0.7299
Ge2 0.4568 0.1425 0.4799
S1 0.1075 0.4969 0.4219
S2 0.1309 0.3067 0.6816
S3 0.1423 0.2181 0.0215
S4 0.2023 0.1689 0.3497
S5 0.3701 0.0697 0.6417
S6 0.3944 0.4425 0.2216
# electronic total energy: -4.158 eV per atom

---

# NaZrGeS3 | OQMD | PBE | relaxed
data_NaZrGeS3
_chemical_formula_sum 'Na4 Zr4 Ge4 S12'
_symmetry_space_group_name_H-M 'C m c m'
_symmetry_Int_Tables_number 63
_symmetry_space_group_name_Hall '-C 2c 2'
_cell_length_a 3.6116
_cell_length_b 14.8363
_cell_length_c 10.4670
_cell_angle_alpha 90.00
_cell_angle_beta 90.00
_cell_angle_gamma 90.00
loop_
_atom_site_label
_atom_site_fract_x
_atom_site_fract_y
_atom_site_fract_z
Na1 0.0000 0.1734 0.2500
Zr1 0.0000 0.5000 0.0000
Ge1 0.0000 0.1422 0.7500
S1 0.0000 0.1233 0.0001
S2 0.0000 0.4790 0.2500
# electronic total energy: -5.365 eV per atom

---

# NaTbGeSe3 | OQMD | PBE | relaxed
data_NaTbGeSe3
_chemical_formula_sum 'Na4 Tb4 Ge4 Se12'
_symmetry_space_group_name_H-M 'C m c m'
_symmetry_Int_Tables_number 63
_symmetry_space_group_name_Hall '-C 2c 2'
_cell_length_a 4.3811
_cell_length_b 13.6969
_cell_length_c 11.1898
_cell_angle_alpha 90.00
_cell_angle_beta 90.00
_cell_angle_gamma 90.00
loop_
_atom_site_label
_atom_site_fract_x
_atom_site_fract_y
_atom_site_fract_z
Na1 0.0000 0.2461 0.2500
Tb1 0.0000 0.5000 0.0000
Ge1 0.0000 0.0286 0.7500
Se1 0.0000 0.1367 0.5545
Se2 0.0000 0.4171 0.7500
# electronic total energy: -4.498 eV per atom

---

# Na2ZnGe2Se6 | OQMD | PBE | relaxed
data_Na2ZnGe2Se6
_chemical_formula_sum 'Na8 Zn4 Ge8 Se24'
_symmetry_space_group_name_H-M 'I 4/m c m'
_symmetry_Int_Tables_number 140
_symmetry_space_group_name_Hall '-I 4 2c'
_cell_length_a 7.8840
_cell_length_b 7.8840
_cell_length_c 18.9870
_cell_angle_alpha 90.00
_cell_angle_beta 90.00
_cell_angle_gamma 90.00
loop_
_atom_site_label
_atom_site_fract_x
_atom_site_fract_y
_atom_site_fract_z
Na1 0.0000 0.0000 0.1174
Zn1 0.0000 0.5000 0.2500
Ge1 0.0000 0.5000 0.0852
Se1 0.1636 0.3364 0.0000
Se2 0.1679 0.3321 0.3384
# electronic total energy: -3.719 eV per atom

---

# NaZrGeSe3 | OQMD | PBE | relaxed
data_NaZrGeSe3
_chemical_formula_sum 'Na4 Zr4 Ge4 Se12'
_symmetry_space_group_name_H-M 'C m c m'
_symmetry_Int_Tables_number 63
_symmetry_space_group_name_Hall '-C 2c 2'
_cell_length_a 3.7398
_cell_length_b 14.7185
_cell_length_c 11.1299
_cell_angle_alpha 90.00
_cell_angle_beta 90.00
_cell_angle_gamma 90.00
loop_
_atom_site_label
_atom_site_fract_x
_atom_site_fract_y
_atom_site_fract_z
Na1 0.0000 0.1628 0.2500
Zr1 0.0000 0.5000 0.0000
Ge1 0.0000 0.1500 0.7500
Se1 0.0000 0.1328 0.5023
Se2 0.0000 0.4802 0.2500
# electronic total energy: -4.928 eV per atom

---

Question: electronic total energy of number 6 (NaZrGeSe3)?
Answer: -4.928 eV per atom

---

Question: What is the electronic total energy in the sixth record?
Answer: -4.928 eV per atom

---

Question: Which value of electronic total energy does entry 2 give?
Answer: -4.158 eV per atom